[1]
Entry from the Alexandria database: crystalline Te2IrCl at its relaxed geometry (PBE).

## Properties
* formation energy without anion corrections: 0.29 eV/atom

```
Te2IrCl
1.0
-1.806 3.695 4.283
1.806 -3.695 4.283
1.806 3.695 -4.283
Te Ir Cl
2 1 1
direct
0.215 0.215 0.000
0.785 0.785 0.000
0.000 0.500 0.500
0.500 0.000 0.500
```

***

[2]
Entry from the Alexandria database: crystalline Ca2AlAu5 at its relaxed geometry (PBE).

## Properties
* formation enthalpy at 0 K: -560 meV/atom

```
Ca2AlAu5
1.0
-3.240 3.240 4.357
3.240 -3.240 4.357
3.240 3.240 -4.357
Ca Al Au
2 1 5
direct
0.000 0.500 0.500
0.500 0.000 0.500
0.269 0.269 0.000
0.523 0.523 0.550
0.523 0.973 0.000
0.973 0.523 0.000
0.973 0.973 0.450
0.979 0.979 0.000
```

***

[3]
Entry from the Alexandria database: crystalline Pr5Dy3Ho4 at its relaxed geometry (PBE).

## Properties
* formation enthalpy at 0 K: 249 meV/atom

```
Pr5Dy3Ho4
1.0
6.329 -2.909 0.000
6.329 2.909 0.000
-1.075 0.000 10.950
Pr Dy Ho
5 3 4
direct
0.000 0.000 0.000
0.352 0.352 0.732
0.399 0.399 0.409
0.601 0.601 0.591
0.648 0.648 0.268
0.255 0.255 0.107
0.500 0.500 0.000
0.745 0.745 0.893
0.077 0.077 0.755
0.146 0.146 0.450
0.854 0.854 0.550
0.923 0.923 0.245
```

***

[4]
Entry from the Alexandria database: crystalline ScTa2Mo at its relaxed geometry (PBE).

## Properties
* formation enthalpy at 0 K: 239 meV/atom

```
ScTa2Mo
1.0
2.779 0.000 0.000
0.000 2.779 0.000
0.000 0.000 9.618
Sc Ta Mo
1 2 1
direct
0.000 0.000 0.000
0.000 0.000 0.512
0.500 0.500 0.268
0.500 0.500 0.755
```

***

[5]
Entry from the Alexandria database: crystalline Er8GePb2 at its relaxed geometry (PBE).

## Properties
* formation enthalpy at 0 K: -298 meV/atom

```
Er8GePb2
1.0
9.719 -2.478 0.000
9.719 2.478 0.000
-1.563 0.000 6.536
Er Ge Pb
8 1 2
direct
0.021 0.021 0.273
0.218 0.218 0.830
0.350 0.350 0.490
0.411 0.411 0.033
0.589 0.589 0.967
0.650 0.650 0.510
0.782 0.782 0.170
0.979 0.979 0.727
0.500 0.500 0.500
0.182 0.182 0.268
0.818 0.818 0.732
```

***

[6]
Entry from the Alexandria database: crystalline K2La2Rh at its relaxed geometry (PBE).

## Properties
* formation enthalpy at 0 K: 759 meV/atom

```
K2La2Rh
1.0
7.513 0.000 0.000
0.000 7.513 0.000
0.000 0.000 6.012
K La Rh
4 4 2
direct
0.140 0.360 0.000
0.360 0.860 0.000
0.640 0.140 0.000
0.860 0.640 0.000
0.189 0.689 0.500
0.311 0.189 0.500
0.689 0.811 0.500
0.811 0.311 0.500
0.000 0.000 0.000
0.500 0.500 0.000
```

***

Repeat the second record exactly.
Entry from the Alexandria database: crystalline Ca2AlAu5 at its relaxed geometry (PBE).

## Properties
* formation enthalpy at 0 K: -560 meV/atom

```
Ca2AlAu5
1.0
-3.240 3.240 4.357
3.240 -3.240 4.357
3.240 3.240 -4.357
Ca Al Au
2 1 5
direct
0.000 0.500 0.500
0.500 0.000 0.500
0.269 0.269 0.000
0.523 0.523 0.550
0.523 0.973 0.000
0.973 0.523 0.000
0.973 0.973 0.450
0.979 0.979 0.000
```

***

Q: What is the formula in the fourth record?
A: ScTa2Mo

***

Repeat the sixth record exactly.
Entry from the Alexandria database: crystalline K2La2Rh at its relaxed geometry (PBE).

## Properties
* formation enthalpy at 0 K: 759 meV/atom

```
K2La2Rh
1.0
7.513 0.000 0.000
0.000 7.513 0.000
0.000 0.000 6.012
K La Rh
4 4 2
direct
0.140 0.360 0.000
0.360 0.860 0.000
0.640 0.140 0.000
0.860 0.640 0.000
0.189 0.689 0.500
0.311 0.189 0.500
0.689 0.811 0.500
0.811 0.311 0.500
0.000 0.000 0.000
0.500 0.500 0.000
```